1.
Computed, not measured: crystalline Sc2AgAu at its relaxed geometry at the PBE level of DFT.

a b c (Å): 6.9522 6.9228 6.5148
angles (deg): 90.00 90.00 90.00
Closest atoms and distances in Å follow each position.
Space group Pnma (No. 62)
Unique sites:
1 Sc 0.2502 0.0002 0.2498 x8  4 Au 2.94-2.96, 4 Ag 2.94-2.95, 2 Sc 3.26
2 Ag 0.0009 0.2500 0.9995 x4  8 Sc 2.94-2.95, 2 Au 3.25-3.27
3 Au 0.0016 0.7500 0.4990 x4  8 Sc 2.94-2.96, 2 Ag 3.25-3.27

Results
* energy relative to the lowest polymorph listed for this composition: 0.012 eV per atom
* ΔE_f: -0.5487 eV/atom

=====

2.
Computed, not measured: crystalline PuNiOs at its relaxed geometry at the PBE level of DFT.

a b c (Å): 6.0415 6.0415 6.0415
angles (deg): 90.00 90.00 90.00
Closest atoms and distances in Å follow each position.
Space group F-43m (No. 216)
Unique sites:
1 Pu 0.0000 0.0000 0.0000 x4  4 Ni 2.62, 4 Os 2.62
2 Ni 0.2500 0.2500 0.7500 x4  4 Pu 2.62
3 Os 0.2500 0.2500 0.2500 x4  4 Pu 2.62

Results
* energy relative to the lowest polymorph listed for this composition: 0.633 eV per atom
* ΔE_f: 0.9629 eV/atom

=====

3.
Computed, not measured: crystalline DyNi2H6 at its relaxed geometry at the PBE level of DFT.

a b c (Å): 4.3336 4.3336 4.0646
angles (deg): 90.00 90.00 120.00
Closest atoms and distances in Å follow each position.
Space group P6/mmm (No. 191)
Unique sites:
1 Dy 0.0000 0.0000 0.0000 x1  12 H 2.38
2 Ni 0.3333 0.6667 0.5000 x2  6 H 1.63
3 H 0.0000 0.5000 0.2411 x6  2 Ni 1.63

Results
* E_tot: -4.363 eV/atom

=====

4.
Computed, not measured: crystalline PrOsPt at its relaxed geometry at the PBE level of DFT.

a b c (Å): 6.5437 6.5437 6.5437
angles (deg): 90.00 90.00 90.00
Closest atoms and distances in Å follow each position.
Space group F-43m (No. 216)
Unique sites:
1 Pr 0.0000 0.0000 0.0000 x4  4 Pt 2.83
2 Os 0.0000 0.0000 0.5000 x4  4 Pt 2.83
3 Pt 0.2500 0.2500 0.7500 x4  4 Pr 2.83, 4 Os 2.83

Results
* energy relative to the lowest polymorph listed for this composition: 0.000 eV per atom
* ΔE_f: 0.3709 eV/atom

=====

5.
Computed, not measured: crystalline Tb2HfN3 at its relaxed geometry at the PBE level of DFT.

a b c (Å): 3.3563 3.3563 8.3438
angles (deg): 90.00 90.00 120.00
Closest atoms and distances in Å follow each position.
Space group P-3m1 (No. 164)
Unique sites:
1 Tb 0.3333 0.6667 0.3306 x2  6 N 2.40-2.48
2 Hf 0.0000 0.0000 0.0000 x1  6 N 2.28
3 N 0.0000 0.0000 0.5000 x1  6 Tb 2.40
4 N 0.3333 0.6667 0.8552 x2  3 Hf 2.28, 3 Tb 2.48

Results
* E_tot: -9.098 eV/atom

=====

6.
Computed, not measured: crystalline CdCoW4C2 at its relaxed geometry at the PBE level of DFT.

a b c (Å): 3.0478 3.0478 13.5114
angles (deg): 90.00 90.00 120.00
Closest atoms and distances in Å follow each position.
Space group P-6m2 (No. 187)
Unique sites:
1 Cd 0.0000 0.0000 0.0000 x1  6 W 3.03, 6 Cd 3.05
2 Co 0.3333 0.6667 0.5000 x1  6 W 2.61
3 W 0.0000 0.0000 0.3578 x2  3 C 2.14
4 W 0.3333 0.6667 0.1830 x2  3 C 2.10
5 C 0.6667 0.3333 0.2681 x2  6 W 2.10-2.14

Results
* E_tot: -9.582 eV/atom

=====

7.
Computed, not measured: crystalline ZrSc5As6 at its relaxed geometry at the PBE level of DFT.

a b c (Å): 6.6992 11.5938 6.6985
angles (deg): 90.00 109.47 90.00
Closest atoms and distances in Å follow each position.
Space group C2/m (No. 12)
Unique sites:
1 Zr 0.0000 0.0000 0.0000 x2  6 As 2.74
2 Sc 0.0000 0.1663 0.5000 x4  6 As 2.73
3 Sc 0.0000 0.3332 0.0000 x4  6 As 2.73-2.74
4 Sc 0.0000 0.5000 0.5000 x2  6 As 2.73
5 As 0.2494 0.3330 0.7493 x8  5 Sc 2.73-2.74, 1 Zr 2.74
6 As 0.2493 0.5000 0.2502 x4  5 Sc 2.73, 1 Zr 2.74

Results
* E_tot: -7.023 eV/atom

=====

8.
Computed, not measured: crystalline Be2InPt at its relaxed geometry at the PBE level of DFT.

a b c (Å): 6.0972 6.0972 6.0972
angles (deg): 90.00 90.00 90.00
Closest atoms and distances in Å follow each position.
Space group F-43m (No. 216)
Unique sites:
1 Be 0.0000 0.0000 0.0000 x4  4 Be 2.64, 4 Pt 2.64
2 Be 0.2500 0.2500 0.2500 x4  4 In 2.64, 4 Be 2.64
3 In 0.0000 0.0000 0.5000 x4  4 Pt 2.64, 4 Be 2.64
4 Pt 0.2500 0.2500 0.7500 x4  4 In 2.64, 4 Be 2.64

Results
* E_tot: -3.979 eV/atom

=====

9.
Computed, not measured: crystalline Zn2Mo at its relaxed geometry at the PBE level of DFT.

a b c (Å): 6.9541 6.9541 6.9541
angles (deg): 90.00 90.00 90.00
Closest atoms and distances in Å follow each position.
Space group Fd-3m (No. 227, origin choice 2)
Unique sites:
1 Zn 0.0000 0.0000 0.0000 x16  6 Zn 2.46
2 Mo 0.1250 0.1250 0.6250 x8  12 Zn 2.88, 4 Mo 3.01

Results
* ΔE_f: 0.0408 eV/atom

=====

10.
Computed, not measured: crystalline Ba2In3Hg at its relaxed geometry at the PBE level of DFT.

a b c (Å): 12.1715 5.2494 8.5506
angles (deg): 90.00 134.24 90.00
Closest atoms and distances in Å follow each position.
Space group Cm (No. 8)
Unique sites:
1 Ba 0.0000 0.0000 0.0000 x2  9 In 3.56-3.90, 3 Hg 3.72-3.86
2 Ba 0.0981 0.0000 0.6040 x2  9 In 3.58-3.91, 3 Hg 3.60-3.64
3 In 0.2086 0.5000 0.0233 x2  1 Hg 3.04, 3 In 3.06-3.19
4 In 0.2128 0.5000 0.4001 x2  2 Hg 3.01, 2 In 3.03-3.19
5 In 0.3887 0.0000 0.2067 x2  3 In 3.03-3.06, 1 Hg 3.20
6 Hg 0.3818 0.0000 0.5741 x2  4 In 3.01-3.20

Results
* E_tot: -2.541 eV/atom